Ti6Sb2H: optimized geometry, PBE-GGA.

a b c (Å): 10.4238 5.7150 4.7939
angles (deg): 90.00 92.15 90.00
Space group C2/m (No. 12)
Unique sites:
Ti 0.0749 0.2414 0.2466 [8 per cell]
Ti 0.1782 0.0000 0.7278 [4 per cell]
Sb 0.1674 0.5000 0.7600 [4 per cell]
H 0.0000 0.0000 0.5000 [2 per cell]

Results
energy	-124.9	eV for the cell shown